Density functional theory data (PBE) for KHg2 after structural relaxation.

Cell lengths 3.452, 9.439, 6.044 Å; angles 90.00, 90.00, 90.00 degrees
Sites, in units of the cell vectors:
K (0.000, 0.000, 0.000)
K (0.500, 0.500, 0.500)
Hg (0.208, 0.156, 0.500)
Hg (0.292, 0.656, 0.000)
Hg (0.708, 0.344, 0.000)
Hg (0.792, 0.844, 0.500)

---

Density functional theory data (PBE) for K3Hg2 after structural relaxation.

Cell lengths 9.291, 9.291, 9.291 Å; angles 53.25, 53.25, 53.25 degrees
Sites, in units of the cell vectors:
K (0.143, 0.750, 0.357)
K (0.250, 0.643, 0.857)
K (0.357, 0.143, 0.750)
K (0.643, 0.857, 0.250)
K (0.750, 0.357, 0.143)
K (0.857, 0.250, 0.643)
Hg (0.187, 0.187, 0.187)
Hg (0.313, 0.313, 0.313)
Hg (0.687, 0.687, 0.687)
Hg (0.813, 0.813, 0.813)

---

Density functional theory data (PBE) for KHg4 after structural relaxation.

Cell lengths 6.644, 6.644, 6.644 Å; angles 90.00, 90.00, 90.00 degrees
Sites, in units of the cell vectors:
K (0.000, 0.000, 0.000)
Hg (0.000, 0.000, 0.500)
Hg (0.000, 0.500, 0.000)
Hg (0.500, 0.000, 0.000)
Hg (0.500, 0.500, 0.500)

---

no.,magnetic moment (μB/atom),energy of formation from the pure elements (eV/atom)
1,0.00,-0.15
2,0.00,-0.17
3,0.00,0.11